[1]
## HgP2Ru (PBE)

Data for HgP2Ru after structural relaxation.

Properties
final energy = -5.16 eV per atom
Fermi-level density of states = 0.24 states/eV/f.u.

```
data_HgP2Ru
_cell_length_a 8.259
_cell_length_b 2.984
_cell_length_c 6.570
_cell_angle_alpha 90.00
_cell_angle_beta 103.44
_cell_angle_gamma 90.00
_space_group_name_H-M_alt 'C 1 m 1'
_space_group_IT_number 8
loop_
_space_group_symop_operation_xyz
'x,y,z'
'x,-y,z'
'x+1/2,y+1/2,z'
'x+1/2,-y+1/2,z'
loop_
_atom_site_label
_atom_site_type_symbol
_atom_site_fract_x
_atom_site_fract_y
_atom_site_fract_z
Hg1 Hg 0.000 0.000 0.000
P1 P 0.186 0.000 0.674
P2 P 0.312 0.000 0.418
Ru1 Ru 0.088 0.500 0.385
```

[2]
## NaTl2O (PBE)

Data for NaTl2O after structural relaxation.

Properties
Fermi-level density of states = 1.71 states/eV/f.u.
energy above the most stable polymorph in this dataset = 0 meV per atom

```
data_NaTl2O
_cell_length_a 7.854
_cell_length_b 7.854
_cell_length_c 6.045
_cell_angle_alpha 90.00
_cell_angle_beta 90.00
_cell_angle_gamma 90.00
_space_group_name_H-M_alt 'I -4 2 d'
_space_group_IT_number 122
_space_group_name_Hall 'I -4 2bw'
loop_
_atom_site_label
_atom_site_type_symbol
_atom_site_fract_x
_atom_site_fract_y
_atom_site_fract_z
Na1 Na 0.000 0.000 0.000
Tl1 Tl 0.174 0.250 0.625
O1 O 0.000 0.000 0.500
```

[3]
## AcTb2In3Te6 (PBE)

Data for AcTb2In3Te6 after structural relaxation.

Properties
final energy = -4.36 eV per atom

```
data_AcTb2In3Te6
_cell_length_a 7.887
_cell_length_b 13.633
_cell_length_c 8.519
_cell_angle_alpha 90.00
_cell_angle_beta 107.93
_cell_angle_gamma 90.00
_space_group_name_H-M_alt 'C 1 2/m 1'
_space_group_IT_number 12
loop_
_space_group_symop_operation_xyz
'x,y,z'
'-x,-y,-z'
'-x,y,-z'
'x,-y,z'
'x+1/2,y+1/2,z'
'-x+1/2,-y+1/2,-z'
'-x+1/2,y+1/2,-z'
'x+1/2,-y+1/2,z'
loop_
_atom_site_label
_atom_site_type_symbol
_atom_site_fract_x
_atom_site_fract_y
_atom_site_fract_z
Ac1 Ac 0.000 0.000 0.000
Tb1 Tb 0.000 0.333 0.000
In1 In 0.000 0.162 0.500
In2 In 0.000 0.500 0.500
Te1 Te 0.222 0.500 0.220
Te2 Te 0.249 0.324 0.774
```

[4]
## CaNb4S8 (PBE)

Data for CaNb4S8 after structural relaxation.

Properties
final energy = -6.99 eV per atom
Fermi-level density of states = 6.72 states/eV/f.u.

```
data_CaNb4S8
_cell_length_a 11.789
_cell_length_b 6.885
_cell_length_c 8.872
_cell_angle_alpha 90.00
_cell_angle_beta 128.22
_cell_angle_gamma 90.00
_space_group_name_H-M_alt 'C 1 2/m 1'
_space_group_IT_number 12
loop_
_space_group_symop_operation_xyz
'x,y,z'
'-x,-y,-z'
'-x,y,-z'
'x,-y,z'
'x+1/2,y+1/2,z'
'-x+1/2,-y+1/2,-z'
'-x+1/2,y+1/2,-z'
'x+1/2,-y+1/2,z'
loop_
_atom_site_label
_atom_site_type_symbol
_atom_site_fract_x
_atom_site_fract_y
_atom_site_fract_z
Ca1 Ca 0.000 0.000 0.000
Nb1 Nb 0.000 0.289 0.500
Nb2 Nb 0.236 0.500 0.495
S1 S 0.010 0.000 0.693
S2 S 0.029 0.500 0.748
S3 S 0.230 0.250 0.277
```

Which theoretical density belongs to each record? In order, 7.67 7.98 6.31 3.92 g cm⁻³.